# 1
A plane-wave DFT calculation with PBE was carried out for LuCoCuBi after structural relaxation.

abc: 4.703 4.703 4.703
angles: 60.00 60.00 60.00
Atoms (fractional coordinates):
Lu 0.000 0.000 0.000
Co 0.500 0.500 0.500
Cu 0.750 0.750 0.750
Bi 0.250 0.250 0.250

Relative energy among the computed polymorphs ... 16.10 kJ/mol of atoms
Final energy ... -19.0 eV per cell

---

# 2
A plane-wave DFT calculation with PBE was carried out for Tl2ZnCuCl6 after structural relaxation.

abc: 6.922 6.922 6.922
angles: 60.00 60.00 60.00
Atoms (fractional coordinates):
Tl 0.250 0.250 0.250
Tl 0.750 0.750 0.750
Zn 0.000 0.000 0.000
Cu 0.500 0.500 0.500
Cl 0.251 0.251 0.749
Cl 0.251 0.749 0.251
Cl 0.251 0.749 0.749
Cl 0.749 0.251 0.251
Cl 0.749 0.251 0.749
Cl 0.749 0.749 0.251

Final energy ... -29.0 eV per cell

---

# 3
A plane-wave DFT calculation with PBE was carried out for SbIr8 after structural relaxation.

abc: 4.708 4.708 26.283
angles: 90.02 90.02 48.65
Atoms (fractional coordinates):
Sb 0.051 0.051 0.215
Sb 0.949 0.949 0.785
Ir 0.049 0.049 0.549
Ir 0.148 0.148 0.648
Ir 0.153 0.153 0.319
Ir 0.250 0.250 0.746
Ir 0.252 0.252 0.418
Ir 0.350 0.350 0.516
Ir 0.447 0.447 0.287
Ir 0.447 0.447 0.615
Ir 0.553 0.553 0.385
Ir 0.553 0.553 0.713
Ir 0.650 0.650 0.484
Ir 0.748 0.748 0.582
Ir 0.750 0.750 0.254
Ir 0.847 0.847 0.681
Ir 0.852 0.852 0.352
Ir 0.951 0.951 0.451

Final energy ... -149.0 eV per cell

---

# 4
A plane-wave DFT calculation with PBE was carried out for SmTlAsO after structural relaxation.

abc: 5.966 5.966 5.100
angles: 90.00 90.00 90.00
Atoms (fractional coordinates):
Sm 0.250 0.750 0.000
Sm 0.750 0.250 0.000
Tl 0.250 0.250 0.490
Tl 0.750 0.750 0.510
As 0.250 0.250 0.989
As 0.750 0.750 0.011
O 0.250 0.750 0.500
O 0.750 0.250 0.500

Relative energy among the computed polymorphs ... 30.96 kJ/mol of atoms
Final energy ... -42.1 eV per cell

---

# 5
A plane-wave DFT calculation with PBE was carried out for ReNi2Sn5 after structural relaxation.

abc: 4.876 5.962 5.962
angles: 64.16 90.00 90.00
Atoms (fractional coordinates):
Re 0.000 0.000 0.000
Ni 0.000 0.451 0.451
Ni 0.500 0.787 0.787
Sn 0.000 0.518 0.980
Sn 0.000 0.980 0.518
Sn 0.500 0.292 0.814
Sn 0.500 0.319 0.319
Sn 0.500 0.814 0.292

Final energy ... -40.3 eV per cell

---

# 6
A plane-wave DFT calculation with PBE was carried out for Tb2DyO3 after structural relaxation.

abc: 3.402 3.402 8.337
angles: 90.00 90.00 120.00
Atoms (fractional coordinates):
Tb 0.333 0.667 0.167
Tb 0.667 0.333 0.833
Dy 0.000 0.000 0.500
O 0.000 0.000 0.000
O 0.333 0.667 0.664
O 0.667 0.333 0.336

Final energy ... -45.5 eV per cell

---

# 7
A plane-wave DFT calculation with PBE was carried out for CsAgSnTe3 after structural relaxation.

abc: 13.322 4.634 14.345
angles: 90.00 90.00 90.00
Atoms (fractional coordinates):
Cs 0.226 0.250 0.058
Cs 0.274 0.750 0.558
Cs 0.726 0.250 0.442
Cs 0.774 0.750 0.942
Ag 0.225 0.250 0.344
Ag 0.275 0.750 0.844
Ag 0.725 0.250 0.156
Ag 0.775 0.750 0.656
Sn 0.075 0.250 0.744
Sn 0.425 0.750 0.244
Sn 0.575 0.250 0.756
Sn 0.925 0.750 0.256
Te 0.035 0.250 0.441
Te 0.072 0.750 0.879
Te 0.144 0.750 0.268
Te 0.356 0.250 0.768
Te 0.428 0.250 0.379
Te 0.465 0.750 0.941
Te 0.535 0.250 0.059
Te 0.572 0.750 0.621
Te 0.644 0.750 0.232
Te 0.856 0.250 0.732
Te 0.928 0.250 0.121
Te 0.965 0.750 0.559

Relative energy among the computed polymorphs ... 0.69 kJ/mol of atoms
Final energy ... -78.4 eV per cell

---

# 8
A plane-wave DFT calculation with PBE was carried out for Al2CoPb after structural relaxation.

abc: 4.605 4.605 4.605
angles: 60.00 60.00 60.00
Atoms (fractional coordinates):
Al 0.000 0.000 0.000
Al 0.250 0.250 0.250
Co 0.750 0.750 0.750
Pb 0.500 0.500 0.500

Final energy ... -16.6 eV per cell

---

# 9
A plane-wave DFT calculation with PBE was carried out for Li2Hf2Al2NiPt after structural relaxation.

abc: 4.387 4.387 6.230
angles: 90.00 90.00 90.00
Atoms (fractional coordinates):
Li 0.000 0.000 0.000
Li 0.500 0.500 0.500
Hf 0.000 0.500 0.738
Hf 0.500 0.000 0.262
Al 0.000 0.500 0.254
Al 0.500 0.000 0.746
Ni 0.000 0.000 0.500
Pt 0.500 0.500 0.000

Final energy ... -48.2 eV per cell

---

# 10
A plane-wave DFT calculation with PBE was carried out for Mg2ZrCu after structural relaxation.

abc: 4.706 4.706 4.706
angles: 60.00 60.00 60.00
Atoms (fractional coordinates):
Mg 0.000 0.000 0.000
Mg 0.250 0.250 0.250
Zr 0.500 0.500 0.500
Cu 0.750 0.750 0.750

Final energy ... -15.3 eV per cell

---

# 11
A plane-wave DFT calculation with PBE was carried out for Ba2Al4PtAu after structural relaxation.

abc: 7.448 6.624 6.624
angles: 37.91 90.00 90.00
Atoms (fractional coordinates):
Ba 0.000 0.000 0.000
Ba 0.500 0.090 0.090
Al 0.195 0.729 0.729
Al 0.318 0.362 0.362
Al 0.682 0.362 0.362
Al 0.805 0.729 0.729
Pt 0.500 0.823 0.823
Au 0.000 0.271 0.271

Final energy ... -33.2 eV per cell

---

# 12
A plane-wave DFT calculation with PBE was carried out for Na4CdIn3 after structural relaxation.

abc: 5.187 5.187 7.381
angles: 90.00 90.00 90.00
Atoms (fractional coordinates):
Na 0.000 0.000 0.000
Na 0.000 0.500 0.747
Na 0.500 0.000 0.253
Na 0.500 0.500 0.500
Cd 0.000 0.000 0.500
In 0.000 0.500 0.252
In 0.500 0.000 0.748
In 0.500 0.500 0.000

Final energy ... -15.5 eV per cell

---

# 13
A plane-wave DFT calculation with PBE was carried out for KZrB4 after structural relaxation.

abc: 3.175 3.175 8.456
angles: 90.00 90.00 120.00
Atoms (fractional coordinates):
K 0.000 0.000 0.000
Zr 0.000 0.000 0.500
B 0.333 0.667 0.296
B 0.333 0.667 0.704
B 0.667 0.333 0.296
B 0.667 0.333 0.704

Relative energy among the computed polymorphs ... 0.00 kJ/mol of atoms
Final energy ... -37.8 eV per cell

---

# 14
A plane-wave DFT calculation with PBE was carried out for TaAlNi after structural relaxation.

abc: 6.255 3.757 7.412
angles: 90.00 90.00 90.00
Atoms (fractional coordinates):
Ta 0.020 0.250 0.171
Ta 0.480 0.750 0.671
Ta 0.520 0.250 0.329
Ta 0.980 0.750 0.829
Al 0.149 0.250 0.565
Al 0.351 0.750 0.065
Al 0.649 0.250 0.935
Al 0.851 0.750 0.435
Ni 0.244 0.750 0.380
Ni 0.256 0.250 0.880
Ni 0.744 0.750 0.120
Ni 0.756 0.250 0.620

Final energy ... -88.9 eV per cell

---

# 15
A plane-wave DFT calculation with PBE was carried out for LaPr2Si2Ge2Pd4 after structural relaxation.

abc: 12.846 12.846 12.846
angles: 160.98 160.54 27.34
Atoms (fractional coordinates):
La 0.000 0.000 0.000
Pr 0.353 0.853 0.500
Pr 0.647 0.147 0.500
Si 0.452 0.452 0.000
Si 0.548 0.548 0.000
Ge 0.195 0.695 0.500
Ge 0.805 0.305 0.500
Pd 0.094 0.594 0.500
Pd 0.250 0.250 0.000
Pd 0.750 0.750 0.000
Pd 0.906 0.406 0.500

Relative energy among the computed polymorphs ... 3.89 kJ/mol of atoms
Final energy ... -65.2 eV per cell

---

# 16
A plane-wave DFT calculation with PBE was carried out for LaPrH2I4 after structural relaxation.

abc: 4.199 4.199 16.451
angles: 90.00 90.00 120.00
Atoms (fractional coordinates):
La 0.000 0.000 0.000
Pr 0.000 0.000 0.500
H 0.333 0.667 0.000
H 0.667 0.333 0.500
I 0.333 0.667 0.369
I 0.333 0.667 0.631
I 0.667 0.333 0.133
I 0.667 0.333 0.867

Final energy ... -32.8 eV per cell

---

# 17
A plane-wave DFT calculation with PBE was carried out for Y3HoPb2N2 after structural relaxation.

abc: 3.552 3.552 15.586
angles: 90.00 90.00 120.00
Atoms (fractional coordinates):
Y 0.000 0.000 0.000
Y 0.000 0.000 0.333
Y 0.667 0.333 0.833
Ho 0.667 0.333 0.499
Pb 0.000 0.000 0.665
Pb 0.667 0.333 0.167
N 0.333 0.667 0.418
N 0.333 0.667 0.916

Final energy ... -56.9 eV per cell

---

# 18
A plane-wave DFT calculation with PBE was carried out for AcTmFe after structural relaxation.

abc: 4.880 4.880 4.880
angles: 60.00 60.00 60.00
Atoms (fractional coordinates):
Ac 0.000 0.000 0.000
Tm 0.500 0.500 0.500
Fe 0.250 0.250 0.250

Relative energy among the computed polymorphs ... 0.00 kJ/mol of atoms
Final energy ... -16.0 eV per cell

---

# 19
A plane-wave DFT calculation with PBE was carried out for NbTc2Hg after structural relaxation.

abc: 4.566 4.566 4.566
angles: 60.00 60.00 60.00
Atoms (fractional coordinates):
Nb 0.000 0.000 0.000
Tc 0.500 0.500 0.500
Tc 0.750 0.750 0.750
Hg 0.250 0.250 0.250

Final energy ... -29.1 eV per cell

---

# 20
A plane-wave DFT calculation with PBE was carried out for CsLuNiS3 after structural relaxation.

abc: 9.265 3.901 9.640
angles: 90.00 112.43 90.00
Atoms (fractional coordinates):
Cs 0.213 0.250 0.246
Cs 0.787 0.750 0.754
Lu 0.332 0.750 0.861
Lu 0.668 0.250 0.139
Ni 0.077 0.250 0.597
Ni 0.923 0.750 0.403
S 0.129 0.250 0.847
S 0.174 0.750 0.551
S 0.476 0.750 0.155
S 0.524 0.250 0.845
S 0.826 0.250 0.449
S 0.871 0.750 0.153

Relative energy among the computed polymorphs ... 0.00 kJ/mol of atoms
Final energy ... -62.4 eV per cell